First-principles (PBE) data for a relaxed NpScCuOs crystal, as listed in Alexandria via LeMat-Bulk.

Cell lengths 4.704, 4.704, 4.704 Å; angles 60.00, 60.00, 60.00 degrees
Sites, in units of the cell vectors:
Np 0.000 0.000 0.000
Sc 0.500 0.500 0.500
Cu 0.750 0.750 0.750
Os 0.250 0.250 0.250

Summary:
ΔE_f	0.003	eV/atom
spin magnetization	3.97	μB per cell
space-group type	F-43m
D(E_F)	2.342	states/eV/atom


First-principles (PBE) data for a relaxed NpCuSnOs crystal, as listed in Alexandria via LeMat-Bulk.

Cell lengths 4.718, 4.718, 4.718 Å; angles 60.00, 60.00, 60.00 degrees
Sites, in units of the cell vectors:
Np 0.000 0.000 0.000
Cu 0.750 0.750 0.750
Sn 0.500 0.500 0.500
Os 0.250 0.250 0.250

Summary:
ΔE_f	0.215	eV/atom
spin magnetization	3.09	μB per cell
space-group type	F-43m
D(E_F)	2.286	states/eV/atom


First-principles (PBE) data for a relaxed NpUCuOs crystal, as listed in Alexandria via LeMat-Bulk.

Cell lengths 4.594, 4.594, 4.594 Å; angles 60.00, 60.00, 60.00 degrees
Sites, in units of the cell vectors:
Np 0.000 0.000 0.000
U 0.750 0.750 0.750
Cu 0.250 0.250 0.250
Os 0.500 0.500 0.500

Summary:
ΔE_f	-0.057	eV/atom
spin magnetization	4.09	μB per cell
space-group type	F-43m
D(E_F)	0.782	states/eV/atom


First-principles (PBE) data for a relaxed NpCu3P2 crystal, as listed in Alexandria via LeMat-Bulk.

Cell lengths 7.449, 7.449, 7.449 Å; angles 151.19, 109.38, 77.99 degrees
Sites, in units of the cell vectors:
Np 0.117 0.117 0.000
Np 0.883 0.883 0.000
Cu 0.137 0.325 0.812
Cu 0.358 0.000 0.358
Cu 0.487 0.675 0.812
Cu 0.513 0.325 0.188
Cu 0.642 0.000 0.642
Cu 0.863 0.675 0.188
P 0.192 0.500 0.692
P 0.307 0.807 0.500
P 0.693 0.193 0.500
P 0.808 0.500 0.308

Summary:
ΔE_f	-0.229	eV/atom
spin magnetization	7.26	μB per cell
space-group type	Immm
D(E_F)	1.000	states/eV/atom


First-principles (PBE) data for a relaxed NpCu4P3 crystal, as listed in Alexandria via LeMat-Bulk.

Cell lengths 3.811, 3.811, 8.102 Å; angles 90.00, 90.00, 90.00 degrees
Sites, in units of the cell vectors:
Np 0.000 0.000 0.000
Cu 0.000 0.500 0.327
Cu 0.000 0.500 0.673
Cu 0.500 0.000 0.327
Cu 0.500 0.000 0.673
P 0.000 0.000 0.500
P 0.500 0.500 0.151
P 0.500 0.500 0.849

Summary:
ΔE_f	-0.296	eV/atom
spin magnetization	3.73	μB per cell
space-group type	P4/mmm
D(E_F)	1.050	states/eV/atom


First-principles (PBE) data for a relaxed NpCuP crystal, as listed in Alexandria via LeMat-Bulk.

Cell lengths 3.951, 3.951, 3.975 Å; angles 90.00, 90.00, 120.00 degrees
Sites, in units of the cell vectors:
Np 0.000 0.000 0.000
Cu 0.333 0.667 0.500
P 0.667 0.333 0.500

Summary:
ΔE_f	-0.435	eV/atom
spin magnetization	4.57	μB per cell
space-group type	P-6m2
D(E_F)	2.724	states/eV/atom


no.,E_tot (eV/cell),V (Å³/cell)
1,-34.6,74
2,-31.4,74
3,-39.8,69
4,-74.8,185
5,-47.9,118
6,-23.8,54